Density functional theory data (PBE) for a relaxed LuZn2Ir crystal.

ΔH_f (0 K) ... -0.381 eV per atom

Unit cell a=4.5797 b=4.5797 c=4.5797 alpha=60.00 beta=60.00 gamma=60.00
Sites, in units of the cell vectors:
Lu 0.0000 0.0000 0.0000
Zn 0.2500 0.2500 0.2500
Zn 0.5000 0.5000 0.5000
Ir 0.7500 0.7500 0.7500

Density functional theory data (PBE) for a relaxed HfPbO3 crystal.

Uncorrected energy ... -7.9639 eV/atom

Unit cell a=5.9309 b=9.5309 c=5.7836 alpha=90.00 beta=90.00 gamma=90.00
Sites, in units of the cell vectors:
Hf 0.0171 0.2500 0.0317
Hf 0.4829 0.7500 0.5317
Hf 0.5171 0.2500 0.4683
Hf 0.9829 0.7500 0.9683
Pb 0.0000 0.0000 0.5000
Pb 0.0000 0.5000 0.5000
Pb 0.5000 0.0000 0.0000
Pb 0.5000 0.5000 0.0000
O 0.1412 0.0956 0.8629
O 0.1412 0.4044 0.8629
O 0.1962 0.2500 0.3246
O 0.3038 0.7500 0.8246
O 0.3588 0.5956 0.3629
O 0.3588 0.9044 0.3629
O 0.6412 0.0956 0.6371
O 0.6412 0.4044 0.6371
O 0.6962 0.2500 0.1754
O 0.8038 0.7500 0.6754
O 0.8588 0.5956 0.1371
O 0.8588 0.9044 0.1371

Density functional theory data (PBE) for a relaxed BPtO crystal.

Uncorrected energy ... -6.5929 eV/atom

Unit cell a=2.8223 b=5.0936 c=4.5103 alpha=90.00 beta=90.00 gamma=90.00
Sites, in units of the cell vectors:
B 0.0000 0.1805 0.0000
B 0.5000 0.8195 0.5000
Pt 0.0000 0.7856 0.8581
Pt 0.5000 0.2144 0.3581
O 0.0000 0.3531 0.7754
O 0.5000 0.6469 0.2754

Density functional theory data (PBE) for a relaxed Mg6AlCd crystal.

Uncorrected energy ... -1.7737 eV/atom

Unit cell a=6.2107 b=6.2107 c=5.1048 alpha=90.00 beta=90.00 gamma=120.00
Sites, in units of the cell vectors:
Mg 0.0053 0.5027 0.0000
Mg 0.3319 0.1660 0.5000
Mg 0.4973 0.5027 0.0000
Mg 0.4973 0.9947 0.0000
Mg 0.8340 0.1660 0.5000
Mg 0.8340 0.6681 0.5000
Al 0.3333 0.6667 0.5000
Cd 0.0000 0.0000 0.0000

Density functional theory data (PBE) for a relaxed NaHfPtS3 crystal.

Uncorrected energy ... -5.9909 eV/atom

Unit cell a=7.0534 b=7.0534 c=9.7701 alpha=90.00 beta=90.00 gamma=150.47
Sites, in units of the cell vectors:
Na 0.2365 0.7635 0.7500
Na 0.7635 0.2365 0.2500
Hf 0.0000 0.0000 0.0000
Hf 0.0000 0.0000 0.5000
Pt 0.4716 0.5284 0.2500
Pt 0.5284 0.4716 0.7500
S 0.0836 0.9164 0.2500
S 0.3670 0.6330 0.0488
S 0.3670 0.6330 0.4512
S 0.6330 0.3670 0.5488
S 0.6330 0.3670 0.9512
S 0.9164 0.0836 0.7500

Density functional theory data (PBE) for a relaxed Pr2NdTl2Cd4 crystal.

Uncorrected energy ... -2.8911 eV/atom

Unit cell a=4.7020 b=7.7348 c=7.7348 alpha=119.88 beta=90.00 gamma=90.00
Sites, in units of the cell vectors:
Pr 0.0000 0.2106 0.7894
Pr 0.0000 0.7894 0.2106
Nd 0.0000 0.6318 0.6318
Tl 0.5000 0.5446 0.8765
Tl 0.5000 0.8765 0.5446
Cd 0.0000 0.2123 0.2123
Cd 0.5000 0.2110 0.4487
Cd 0.5000 0.4487 0.2110
Cd 0.5000 0.9733 0.9733